Density functional theory data (SCAN) for a PBEsol-optimized structure of MgWSeN2.

Computed properties:
As for the magnetic moment: 0.0 μB per formula unit. The crystal system is tetragonal. The uncorrected formation energy is 1.644 eV per atom. For the density, the calculation gives 7.2 g/cm³.

abc: 3.8683 3.8683 4.8536
angles: 90.00 90.00 90.00
Space group P4/mmm (No. 123)
Symmetry-distinct sites (fractional):
Mg (0.0000, 0.0000, 0.0000) [1 per cell]
W (0.5000, 0.5000, 0.5000) [1 per cell]
Se (0.0000, 0.0000, 0.5000) [1 per cell]
N (0.0000, 0.5000, 0.0000) [2 per cell]